Here is a relaxed structure of CdCoOF2 from Alexandria. Energies are from PBE with a Hubbard U.

raw total energy	-3.652	eV per atom
spin magnetization	2.9	μB per cell

```
5
Lattice="4.2864 0.0000 0.0000 0.0000 4.2864 0.0000 0.0000 0.0000 4.3318" Properties=species:S:1:pos:R:3 pbc="T T T"
Cd 0.0000 0.0000 0.0000
Co 2.1432 2.1432 2.1659
O 0.0000 0.0000 2.1659
F 0.0000 2.1432 0.0000
F 2.1432 0.0000 0.0000
```